Record 1
The following is a DFT calculation (PBE) of a geometry-optimized TaTlAgO3 structure.

Lattice parameters (Å, degrees): 12.224 3.081 11.074 90.00 90.00 90.00
Fractional positions:
Ta  0.005  0.250  0.135
Ta  0.495  0.750  0.635
Ta  0.505  0.250  0.365
Ta  0.995  0.750  0.865
Tl  0.217  0.250  0.386
Tl  0.283  0.750  0.886
Tl  0.717  0.250  0.114
Tl  0.783  0.750  0.614
Ag  0.051  0.250  0.584
Ag  0.449  0.750  0.084
Ag  0.551  0.250  0.916
Ag  0.949  0.750  0.416
O  0.076  0.250  0.957
O  0.096  0.750  0.186
O  0.100  0.750  0.747
O  0.400  0.250  0.247
O  0.404  0.250  0.686
O  0.424  0.750  0.457
O  0.576  0.250  0.543
O  0.596  0.750  0.314
O  0.600  0.750  0.753
O  0.900  0.250  0.253
O  0.904  0.250  0.814
O  0.924  0.750  0.043

Results
VASP energy (eV per cell): -166.97

***

Record 2
The following is a DFT calculation (PBE) of a geometry-optimized Tb2Ag2O5 structure.

Lattice parameters (Å, degrees): 4.104 4.104 6.983 90.00 90.00 90.00
Fractional positions:
Tb  0.000  0.000  0.000
Tb  0.000  0.000  0.500
Ag  0.500  0.500  0.192
Ag  0.500  0.500  0.808
O  0.000  0.500  0.215
O  0.000  0.500  0.785
O  0.500  0.000  0.215
O  0.500  0.000  0.785
O  0.500  0.500  0.500

Results
VASP energy (eV per cell): -52.59
E above lowest polymorph (kJ/mol of formula units): 136

***

Record 3
The following is a DFT calculation (PBE) of a geometry-optimized TbAg6O8 structure.

Lattice parameters (Å, degrees): 6.511 6.511 6.511 60.00 60.00 60.00
Fractional positions:
Tb  0.000  0.000  0.000
Ag  0.000  0.000  0.500
Ag  0.000  0.500  0.000
Ag  0.000  0.500  0.500
Ag  0.500  0.000  0.000
Ag  0.500  0.000  0.500
Ag  0.500  0.500  0.000
O  0.247  0.247  0.753
O  0.247  0.753  0.247
O  0.247  0.753  0.753
O  0.250  0.250  0.250
O  0.750  0.750  0.750
O  0.753  0.247  0.247
O  0.753  0.247  0.753
O  0.753  0.753  0.247

Results
VASP energy (eV per cell): -68.04

***

Record 4
The following is a DFT calculation (PBE) of a geometry-optimized Tb3AgO6 structure.

Lattice parameters (Å, degrees): 3.595 5.559 7.012 90.26 103.18 91.21
Fractional positions:
Tb  0.000  0.000  0.000
Tb  0.384  0.469  0.734
Tb  0.616  0.531  0.266
Ag  0.000  0.000  0.500
O  0.136  0.797  0.289
O  0.168  0.313  0.390
O  0.479  0.744  0.974
O  0.521  0.256  0.026
O  0.832  0.687  0.610
O  0.864  0.203  0.711

Results
VASP energy (eV per cell): -73.32

***

Record 5
The following is a DFT calculation (PBE) of a geometry-optimized Tb2AgO4 structure.

Lattice parameters (Å, degrees): 6.797 6.797 6.797 60.00 60.00 60.00
Fractional positions:
Tb  0.000  0.000  0.000
Tb  0.000  0.000  0.500
Tb  0.000  0.500  0.000
Tb  0.500  0.000  0.000
Ag  0.375  0.375  0.375
Ag  0.625  0.625  0.625
O  0.210  0.763  0.763
O  0.237  0.237  0.237
O  0.237  0.237  0.790
O  0.237  0.790  0.237
O  0.763  0.210  0.763
O  0.763  0.763  0.210
O  0.763  0.763  0.763
O  0.790  0.237  0.237

Results
VASP energy (eV per cell): -96.63

***

Record 6
The following is a DFT calculation (PBE) of a geometry-optimized Tb2Ag2O5 structure.

Lattice parameters (Å, degrees): 4.046 4.046 8.692 90.00 90.00 90.00
Fractional positions:
Tb  0.000  0.000  0.248
Tb  0.000  0.000  0.752
Ag  0.500  0.500  0.000
Ag  0.500  0.500  0.500
O  0.000  0.000  0.500
O  0.000  0.500  0.155
O  0.000  0.500  0.845
O  0.500  0.000  0.155
O  0.500  0.000  0.845

Results
VASP energy (eV per cell): -54.00
E above lowest polymorph (kJ/mol of formula units): 0

***

Record 7
The following is a DFT calculation (PBE) of a geometry-optimized TbAgTeO structure.

Lattice parameters (Å, degrees): 4.453 6.486 6.905 90.00 90.00 90.00
Fractional positions:
Tb  0.000  0.142  0.000
Tb  0.000  0.858  0.500
Ag  0.500  0.245  0.623
Ag  0.500  0.755  0.123
Te  0.500  0.339  0.231
Te  0.500  0.661  0.731
O  0.000  0.112  0.691
O  0.000  0.888  0.191

Results
VASP energy (eV per cell): -42.56

***

Record 8
The following is a DFT calculation (PBE) of a geometry-optimized TbYAg2O4 structure.

Lattice parameters (Å, degrees): 3.505 3.505 12.493 90.00 90.00 120.00
Fractional positions:
Tb  0.000  0.000  0.000
Y  0.000  0.000  0.500
Ag  0.333  0.667  0.750
Ag  0.667  0.333  0.250
O  0.333  0.667  0.584
O  0.333  0.667  0.915
O  0.667  0.333  0.085
O  0.667  0.333  0.416

Results
VASP energy (eV per cell): -54.68

***

Record 9
The following is a DFT calculation (PBE) of a geometry-optimized Ag4TeO5 structure.

Lattice parameters (Å, degrees): 8.691 8.691 11.393 105.30 105.30 41.59
Fractional positions:
Ag  0.000  0.500  0.000
Ag  0.069  0.931  0.750
Ag  0.079  0.317  0.228
Ag  0.180  0.702  0.980
Ag  0.285  0.532  0.248
Ag  0.298  0.820  0.520
Ag  0.317  0.079  0.728
Ag  0.468  0.715  0.252
Ag  0.500  0.000  0.500
Ag  0.532  0.285  0.748
Ag  0.683  0.921  0.272
Ag  0.702  0.180  0.480
Ag  0.715  0.468  0.752
Ag  0.820  0.298  0.020
Ag  0.921  0.683  0.772
Ag  0.931  0.069  0.250
Te  0.119  0.580  0.503
Te  0.420  0.881  0.997
Te  0.580  0.119  0.003
Te  0.881  0.420  0.497
O  0.048  0.771  0.396
O  0.108  0.143  0.391
O  0.141  0.388  0.595
O  0.143  0.108  0.891
O  0.229  0.952  0.104
O  0.303  0.332  0.892
O  0.332  0.303  0.392
O  0.371  0.516  0.608
O  0.388  0.141  0.095
O  0.484  0.629  0.892
O  0.516  0.371  0.108
O  0.612  0.859  0.905
O  0.629  0.484  0.392
O  0.668  0.697  0.608
O  0.697  0.668  0.108
O  0.771  0.048  0.896
O  0.857  0.892  0.109
O  0.859  0.612  0.405
O  0.892  0.857  0.609
O  0.952  0.229  0.604

Results
VASP energy (eV per cell): -173.66

***

Record 10
The following is a DFT calculation (PBE) of a geometry-optimized Ag2Te2O7 structure.

Lattice parameters (Å, degrees): 7.346 7.346 7.346 120.15 91.71 117.89
Fractional positions:
Ag  0.000  0.000  0.000
Ag  0.500  0.000  0.000
Ag  0.500  0.000  0.500
Ag  0.500  0.500  0.500
Te  0.000  0.000  0.500
Te  0.000  0.500  0.000
Te  0.000  0.500  0.500
Te  0.500  0.500  0.000
O  0.048  0.224  0.414
O  0.048  0.634  0.824
O  0.092  0.842  0.250
O  0.309  0.722  0.588
O  0.310  0.224  0.676
O  0.310  0.634  0.086
O  0.366  0.278  0.088
O  0.634  0.722  0.912
O  0.690  0.366  0.914
O  0.690  0.776  0.324
O  0.691  0.278  0.412
O  0.908  0.158  0.750
O  0.952  0.366  0.176
O  0.952  0.776  0.586

Results
VASP energy (eV per cell): -107.53

***

Record 11
The following is a DFT calculation (PBE) of a geometry-optimized TlAgTeO structure.

Lattice parameters (Å, degrees): 4.134 4.134 10.038 90.00 90.00 90.00
Fractional positions:
Tl  0.250  0.250  0.108
Tl  0.750  0.750  0.892
Ag  0.250  0.750  0.500
Ag  0.750  0.250  0.500
Te  0.250  0.250  0.697
Te  0.750  0.750  0.303
O  0.250  0.750  0.000
O  0.750  0.250  0.000

Results
VASP energy (eV per cell): -28.17
E above lowest polymorph (kJ/mol of formula units): 0

***

Record 12
The following is a DFT calculation (PBE) of a geometry-optimized TlAgTeO structure.

Lattice parameters (Å, degrees): 4.330 7.190 6.528 90.00 90.00 90.00
Fractional positions:
Tl  0.000  0.127  0.000
Tl  0.000  0.873  0.500
Ag  0.500  0.277  0.590
Ag  0.500  0.723  0.090
Te  0.500  0.335  0.170
Te  0.500  0.665  0.670
O  0.000  0.145  0.663
O  0.000  0.855  0.163

Results
VASP energy (eV per cell): -28.11
E above lowest polymorph (kJ/mol of formula units): 3